The following is a DFT calculation (PBE-GGA) of crystalline Pr3TlS4 at its relaxed geometry. Values from VASP.

```
&SYSTEM
  ibrav = 0, nat = 8, ntyp = 3
/
ATOMIC_SPECIES
Pr 140.91 Pr.upf
Tl 204.38 Tl.upf
S 32.06 S.upf
ATOMIC_POSITIONS crystal
Pr 0.000 0.500 0.500
Pr 0.500 0.000 0.500
Pr 0.500 0.500 0.000
Tl 0.000 0.000 0.000
S 0.500 0.000 0.000
S 0.000 0.500 0.000
S 0.000 0.000 0.500
S 0.500 0.500 0.500
CELL_PARAMETERS angstrom
-1.640 -5.641 0.358
5.313 -1.412 2.101
-1.928 0.909 5.486
```


The following is a DFT calculation (PBE-GGA) of crystalline Pr2Tl4S5 at its relaxed geometry. Values from VASP.

```
&SYSTEM
  ibrav = 0, nat = 11, ntyp = 3
/
ATOMIC_SPECIES
Pr 140.91 Pr.upf
Tl 204.38 Tl.upf
S 32.06 S.upf
ATOMIC_POSITIONS crystal
Pr 0.141 0.141 0.576
Pr 0.859 0.859 0.424
Tl 0.688 0.688 0.936
Tl 0.590 0.590 0.231
Tl 0.410 0.410 0.769
Tl 0.312 0.312 0.064
S 0.791 0.791 0.628
S 0.625 0.625 0.125
S 0.500 0.500 0.500
S 0.375 0.375 0.875
S 0.209 0.209 0.372
CELL_PARAMETERS angstrom
4.240 0.000 0.000
2.120 3.672 0.000
2.120 1.224 24.195
```


The following is a DFT calculation (PBE-GGA) of crystalline Pr2TlS3 at its relaxed geometry. Values from VASP.

```
&SYSTEM
  ibrav = 0, nat = 6, ntyp = 3
/
ATOMIC_SPECIES
Pr 140.91 Pr.upf
Tl 204.38 Tl.upf
S 32.06 S.upf
ATOMIC_POSITIONS crystal
Pr 0.647 0.647 0.294
Pr 0.353 0.353 0.706
Tl 0.000 0.000 0.000
S 0.000 0.500 0.000
S 0.819 0.819 0.639
S 0.181 0.181 0.361
CELL_PARAMETERS angstrom
3.708 0.000 0.000
0.000 5.119 0.000
-1.854 -2.559 8.098
```


The following is a DFT calculation (PBE-GGA) of crystalline PrTlS2 at its relaxed geometry. Values from VASP.

```
&SYSTEM
  ibrav = 0, nat = 4, ntyp = 3
/
ATOMIC_SPECIES
Pr 140.91 Pr.upf
Tl 204.38 Tl.upf
S 32.06 S.upf
ATOMIC_POSITIONS crystal
Pr 0.667 0.667 0.999
Tl 0.495 0.495 0.515
S 0.070 0.070 0.789
S 0.268 0.268 0.197
CELL_PARAMETERS angstrom
4.206 0.000 0.000
2.103 3.643 0.000
2.103 1.214 7.620
```


The following is a DFT calculation (PBE-GGA) of crystalline Pr3TlS6 at its relaxed geometry. Values from VASP.

```
&SYSTEM
  ibrav = 0, nat = 20, ntyp = 3
/
ATOMIC_SPECIES
Pr 140.91 Pr.upf
Tl 204.38 Tl.upf
S 32.06 S.upf
ATOMIC_POSITIONS crystal
Pr 0.482 0.912 0.715
Pr 0.982 0.715 0.912
Pr 0.396 0.403 0.597
Pr 0.896 0.597 0.403
Pr 0.982 0.088 0.285
Pr 0.482 0.285 0.088
Tl 0.006 0.199 0.801
Tl 0.506 0.801 0.199
S 0.188 0.689 0.634
S 0.688 0.634 0.689
S 0.212 0.441 0.903
S 0.712 0.903 0.441
S 0.178 0.031 0.969
S 0.642 0.221 0.779
S 0.142 0.779 0.221
S 0.678 0.969 0.031
S 0.212 0.097 0.559
S 0.712 0.559 0.097
S 0.188 0.366 0.311
S 0.688 0.311 0.366
CELL_PARAMETERS angstrom
6.876 0.000 0.000
0.000 8.924 0.005
0.000 -1.986 8.700
```


The following is a DFT calculation (PBE-GGA) of crystalline Pr2TlS at its relaxed geometry. Values from VASP.

Computed properties:
energy relative to the lowest polymorph listed for this composition = 47 meV/atom

```
&SYSTEM
  ibrav = 0, nat = 4, ntyp = 3
/
ATOMIC_SPECIES
Pr 140.91 Pr.upf
Tl 204.38 Tl.upf
S 32.06 S.upf
ATOMIC_POSITIONS crystal
Pr 0.066 0.066 0.801
Pr 0.267 0.267 0.200
Tl 0.499 0.499 0.502
S 0.667 0.667 0.998
CELL_PARAMETERS angstrom
4.004 0.000 0.000
2.002 3.467 0.000
2.002 1.156 8.412
```


The following is a DFT calculation (PBE-GGA) of crystalline Pr2TlS at its relaxed geometry. Values from VASP.

Computed properties:
energy relative to the lowest polymorph listed for this composition = 0 meV/atom

```
&SYSTEM
  ibrav = 0, nat = 4, ntyp = 3
/
ATOMIC_SPECIES
Pr 140.91 Pr.upf
Tl 204.38 Tl.upf
S 32.06 S.upf
ATOMIC_POSITIONS crystal
Pr 0.735 0.735 0.794
Pr 0.265 0.265 0.206
Tl 0.500 0.500 0.500
S 0.000 0.000 0.000
CELL_PARAMETERS angstrom
4.062 0.000 0.000
2.031 3.518 0.000
2.031 1.173 8.118
```


The following is a DFT calculation (PBE-GGA) of crystalline Pr6TlS4 at its relaxed geometry. Values from VASP.

```
&SYSTEM
  ibrav = 0, nat = 22, ntyp = 3
/
ATOMIC_SPECIES
Pr 140.91 Pr.upf
Tl 204.38 Tl.upf
S 32.06 S.upf
ATOMIC_POSITIONS crystal
Pr 0.500 0.000 0.000
Pr 0.500 0.000 0.500
Pr 0.039 0.077 0.344
Pr 0.961 0.923 0.656
Pr 0.961 0.923 0.844
Pr 0.039 0.077 0.156
Pr 0.772 0.544 0.419
Pr 0.228 0.456 0.581
Pr 0.228 0.456 0.919
Pr 0.772 0.544 0.081
Pr 0.341 0.682 0.250
Pr 0.659 0.318 0.750
Tl 0.661 0.321 0.250
Tl 0.339 0.679 0.750
S 0.863 0.726 0.540
S 0.405 0.809 0.122
S 0.137 0.274 0.460
S 0.595 0.191 0.878
S 0.863 0.726 0.960
S 0.137 0.274 0.040
S 0.595 0.191 0.622
S 0.405 0.809 0.378
CELL_PARAMETERS angstrom
4.128 0.000 0.000
-2.064 6.908 0.000
0.000 0.000 21.149
```


The following is a DFT calculation (PBE-GGA) of crystalline PrTl2S8 at its relaxed geometry. Values from VASP.

```
&SYSTEM
  ibrav = 0, nat = 11, ntyp = 3
/
ATOMIC_SPECIES
Pr 140.91 Pr.upf
Tl 204.38 Tl.upf
S 32.06 S.upf
ATOMIC_POSITIONS crystal
Pr 0.000 0.000 0.000
Tl 0.435 0.407 0.388
Tl 0.565 0.593 0.612
S 0.131 0.864 0.258
S 0.879 0.997 0.398
S 0.869 0.136 0.742
S 0.264 0.510 0.054
S 0.121 0.003 0.602
S 0.414 0.074 0.785
S 0.586 0.926 0.215
S 0.736 0.490 0.946
CELL_PARAMETERS angstrom
4.788 -0.712 1.816
-0.114 4.223 1.093
2.942 -3.143 15.343
```


The following is a DFT calculation (PBE-GGA) of crystalline PrTlS14 at its relaxed geometry. Values from VASP.

```
&SYSTEM
  ibrav = 0, nat = 32, ntyp = 3
/
ATOMIC_SPECIES
Pr 140.91 Pr.upf
Tl 204.38 Tl.upf
S 32.06 S.upf
ATOMIC_POSITIONS crystal
Pr 0.500 0.000 0.000
Pr 0.500 0.500 0.500
Tl 0.157 0.750 0.407
Tl 0.843 0.250 0.593
S 0.367 0.333 0.033
S 0.633 0.667 0.967
S 0.800 0.833 0.967
S 0.200 0.167 0.033
S 0.545 0.906 0.639
S 0.455 0.094 0.361
S 0.767 0.406 0.361
S 0.233 0.594 0.639
S 0.699 0.868 0.831
S 0.301 0.132 0.169
S 0.537 0.368 0.169
S 0.463 0.632 0.831
S 0.156 0.550 0.009
S 0.844 0.853 0.394
S 0.041 0.050 0.394
S 0.959 0.353 0.009
S 0.844 0.450 0.991
S 0.156 0.147 0.606
S 0.959 0.950 0.606
S 0.041 0.647 0.991
S 0.792 0.191 0.251
S 0.208 0.459 0.400
S 0.441 0.691 0.400
S 0.559 0.959 0.251
S 0.208 0.809 0.749
S 0.792 0.541 0.600
S 0.559 0.309 0.600
S 0.441 0.041 0.749
CELL_PARAMETERS angstrom
-5.003 -7.058 6.656
7.500 5.060 6.107
-9.027 4.343 -4.336
```


The following is a DFT calculation (PBE-GGA) of crystalline PrTl5S4 at its relaxed geometry. Values from VASP.

```
&SYSTEM
  ibrav = 0, nat = 10, ntyp = 3
/
ATOMIC_SPECIES
Pr 140.91 Pr.upf
Tl 204.38 Tl.upf
S 32.06 S.upf
ATOMIC_POSITIONS crystal
Pr 0.500 0.000 0.000
Tl 0.187 0.067 0.374
Tl 0.157 0.504 0.314
Tl 0.843 0.496 0.686
Tl 0.500 0.500 0.000
Tl 0.813 0.933 0.626
S 0.660 0.273 0.321
S 0.026 0.810 0.053
S 0.340 0.727 0.679
S 0.974 0.190 0.947
CELL_PARAMETERS angstrom
4.080 0.000 -1.018
-0.800 7.902 -3.205
0.420 -1.548 10.370
```


The following is a DFT calculation (PBE-GGA) of crystalline PrTl2S3 at its relaxed geometry. Values from VASP.

```
&SYSTEM
  ibrav = 0, nat = 12, ntyp = 3
/
ATOMIC_SPECIES
Pr 140.91 Pr.upf
Tl 204.38 Tl.upf
S 32.06 S.upf
ATOMIC_POSITIONS crystal
Pr 0.250 0.388 0.612
Pr 0.750 0.612 0.388
Tl 0.000 0.165 0.165
Tl 0.500 0.165 0.165
Tl 0.000 0.835 0.835
Tl 0.500 0.835 0.835
S 0.750 0.153 0.847
S 0.750 0.285 0.464
S 0.250 0.464 0.285
S 0.750 0.536 0.715
S 0.250 0.715 0.536
S 0.250 0.847 0.153
CELL_PARAMETERS angstrom
-3.977 -4.218 -0.008
5.907 -5.568 -1.004
1.067 -1.022 8.045
```


The following is a DFT calculation (PBE-GGA) of crystalline Pr7TlS5 at its relaxed geometry. Values from VASP.

```
&SYSTEM
  ibrav = 0, nat = 26, ntyp = 3
/
ATOMIC_SPECIES
Pr 140.91 Pr.upf
Tl 204.38 Tl.upf
S 32.06 S.upf
ATOMIC_POSITIONS crystal
Pr 0.481 0.962 0.250
Pr 0.520 0.039 0.750
Pr 0.636 0.271 0.036
Pr 0.365 0.730 0.964
Pr 0.365 0.730 0.536
Pr 0.636 0.272 0.464
Pr 0.176 0.352 0.171
Pr 0.825 0.649 0.829
Pr 0.825 0.649 0.671
Pr 0.176 0.352 0.329
Pr 0.909 0.819 0.108
Pr 0.091 0.182 0.892
Pr 0.091 0.182 0.608
Pr 0.910 0.819 0.392
Tl 0.800 0.599 0.250
Tl 0.201 0.403 0.750
S 0.000 0.001 0.000
S 0.727 0.454 0.931
S 0.274 0.547 0.069
S 0.544 0.087 0.360
S 0.457 0.914 0.640
S 0.000 0.001 0.500
S 0.274 0.547 0.431
S 0.727 0.454 0.569
S 0.457 0.914 0.860
S 0.543 0.087 0.140
CELL_PARAMETERS angstrom
4.127 -0.001 0.000
-2.065 6.839 0.009
0.000 -0.024 24.819
```


The following is a DFT calculation (PBE-GGA) of crystalline PrTlS3 at its relaxed geometry. Values from VASP.

```
&SYSTEM
  ibrav = 0, nat = 10, ntyp = 3
/
ATOMIC_SPECIES
Pr 140.91 Pr.upf
Tl 204.38 Tl.upf
S 32.06 S.upf
ATOMIC_POSITIONS crystal
Pr 0.250 0.320 0.263
Pr 0.750 0.680 0.737
Tl 0.250 0.791 0.308
Tl 0.750 0.209 0.692
S 0.750 0.571 0.336
S 0.250 0.429 0.664
S 0.750 0.189 0.004
S 0.250 0.885 0.640
S 0.250 0.811 0.996
S 0.750 0.115 0.360
CELL_PARAMETERS angstrom
-0.325 3.704 -1.681
-8.553 0.182 2.054
3.473 3.073 6.097
```


The following is a DFT calculation (PBE-GGA) of crystalline Pr2TmTl3S6 at its relaxed geometry. Values from VASP.

```
&SYSTEM
  ibrav = 0, nat = 12, ntyp = 4
/
ATOMIC_SPECIES
Pr 140.91 Pr.upf
Tm 168.93 Tm.upf
Tl 204.38 Tl.upf
S 32.06 S.upf
ATOMIC_POSITIONS crystal
Pr 0.333 0.667 0.000
Pr 0.667 0.333 0.000
Tm 0.000 0.000 0.000
Tl 0.168 0.832 0.500
Tl 0.832 0.168 0.500
Tl 0.500 0.500 0.500
S 0.933 0.614 0.799
S 0.749 0.749 0.204
S 0.067 0.386 0.201
S 0.614 0.933 0.799
S 0.251 0.251 0.796
S 0.386 0.067 0.201
CELL_PARAMETERS angstrom
7.168 0.001 0.001
-3.581 6.209 0.001
-1.195 -2.069 7.501
```


The following is a DFT calculation (PBE-GGA) of crystalline PrTmTl2S4 at its relaxed geometry. Values from VASP.

```
&SYSTEM
  ibrav = 0, nat = 8, ntyp = 4
/
ATOMIC_SPECIES
Pr 140.91 Pr.upf
Tm 168.93 Tm.upf
Tl 204.38 Tl.upf
S 32.06 S.upf
ATOMIC_POSITIONS crystal
Pr 0.500 0.500 0.000
Tm 0.000 0.000 0.000
Tl 0.500 0.000 0.500
Tl 0.000 0.500 0.500
S 0.500 0.220 0.197
S 0.500 0.780 0.803
S 0.000 0.253 0.797
S 0.000 0.747 0.203
CELL_PARAMETERS angstrom
-2.272 -3.312 0.803
4.610 -1.939 5.045
-5.442 4.559 3.403
```


The following is a DFT calculation (PBE-GGA) of crystalline Pr3UTl3S8 at its relaxed geometry. Values from VASP.

```
&SYSTEM
  ibrav = 0, nat = 15, ntyp = 4
/
ATOMIC_SPECIES
Pr 140.91 Pr.upf
U 238.03 U.upf
Tl 204.38 Tl.upf
S 32.06 S.upf
ATOMIC_POSITIONS crystal
Pr 0.500 0.000 0.500
Pr 0.500 0.500 0.500
Pr 0.000 0.500 0.500
U 0.000 0.000 0.500
Tl 0.000 0.000 0.000
Tl 0.000 0.500 0.000
Tl 0.500 0.500 0.000
S 0.265 0.530 0.295
S 0.735 0.470 0.705
S 0.777 0.554 0.304
S 0.223 0.446 0.696
S 0.777 0.027 0.304
S 0.223 0.973 0.696
S 0.250 0.027 0.304
S 0.750 0.973 0.696
CELL_PARAMETERS angstrom
-0.288 2.730 -7.873
-7.070 -1.594 4.121
4.649 7.280 2.354
```


The following is a DFT calculation (PBE-GGA) of crystalline Pr2UTl2S6 at its relaxed geometry. Values from VASP.

```
&SYSTEM
  ibrav = 0, nat = 11, ntyp = 4
/
ATOMIC_SPECIES
Pr 140.91 Pr.upf
U 238.03 U.upf
Tl 204.38 Tl.upf
S 32.06 S.upf
ATOMIC_POSITIONS crystal
Pr 0.334 0.666 0.500
Pr 0.666 0.334 0.500
U 0.000 0.000 0.500
Tl 0.831 0.169 0.000
Tl 0.169 0.831 0.000
S 0.756 0.756 0.700
S 0.064 0.383 0.697
S 0.244 0.244 0.300
S 0.383 0.064 0.697
S 0.936 0.617 0.303
S 0.617 0.936 0.303
CELL_PARAMETERS angstrom
7.180 -0.018 0.063
-3.564 6.233 0.063
-1.293 -2.223 7.466
```


The following is a DFT calculation (PBE-GGA) of crystalline PrYTl2S4 at its relaxed geometry. Values from VASP.

```
&SYSTEM
  ibrav = 0, nat = 8, ntyp = 4
/
ATOMIC_SPECIES
Pr 140.91 Pr.upf
Y 88.91 Y.upf
Tl 204.38 Tl.upf
S 32.06 S.upf
ATOMIC_POSITIONS crystal
Pr 0.500 0.500 0.000
Y 0.000 0.000 0.000
Tl 0.500 0.000 0.500
Tl 0.000 0.500 0.500
S 0.500 0.225 0.200
S 0.500 0.775 0.800
S 0.000 0.256 0.796
S 0.000 0.744 0.204
CELL_PARAMETERS angstrom
-1.196 2.998 -2.571
-6.194 0.557 3.530
5.119 4.940 3.379
```


The following is a DFT calculation (PBE-GGA) of crystalline PrY2Tl3S6 at its relaxed geometry. Values from VASP.

```
&SYSTEM
  ibrav = 0, nat = 12, ntyp = 4
/
ATOMIC_SPECIES
Pr 140.91 Pr.upf
Y 88.91 Y.upf
Tl 204.38 Tl.upf
S 32.06 S.upf
ATOMIC_POSITIONS crystal
Pr 0.000 0.000 0.000
Y 0.333 0.667 0.000
Y 0.667 0.333 0.000
Tl 0.166 0.834 0.500
Tl 0.834 0.166 0.500
Tl 0.500 0.500 0.500
S 0.933 0.589 0.799
S 0.723 0.723 0.199
S 0.067 0.411 0.201
S 0.589 0.933 0.799
S 0.277 0.277 0.801
S 0.411 0.067 0.201
CELL_PARAMETERS angstrom
-0.515 6.601 -2.554
-5.036 -2.539 4.308
5.627 1.243 5.363
```


Values for ΔE_f (raw), eV per formula unit, ordered as above
-13.3; -10.5; -7.6; -5.7; -15.7; -4.5; -4.7; -17.1; -4.7; -2.7; -7.8; -2.7; -21.1; -5.0; -17.4; -11.6; -21.4; -15.6; -11.7; -17.7